Sc2ReNi: relaxed, PBE-GGA.

## Properties
Formation energy from the elements = 0.3698 eV per atom
E_tot = -88.24 eV/cell
Crystal system = trigonal

Structure (CIF):
```
data_Sc2ReNi
_symmetry_space_group_name_H-M 'R -3 m'
_symmetry_Int_Tables_number 166
_symmetry_space_group_name_Hall '-R 3 2"'
_cell_length_a 2.9039
_cell_length_b 2.9039
_cell_length_c 28.3085
_cell_angle_alpha 90.00
_cell_angle_beta 90.00
_cell_angle_gamma 120.00
loop_
_atom_site_label
_atom_site_fract_x
_atom_site_fract_y
_atom_site_fract_z
_atom_site_occupancy
Sc1 0.0000 0.0000 0.0932 1
Re1 0.0000 0.0000 0.0000 1
Ni1 0.0000 0.0000 0.5000 1
```

---

Sc2ReNi: relaxed, PBE-GGA.

## Properties
Formation energy from the elements = -0.2196 eV per atom
E_tot = -31.77 eV/cell
Crystal system = orthorhombic

Structure (CIF):
```
data_Sc2ReNi
_symmetry_space_group_name_H-M 'P m m m'
_symmetry_Int_Tables_number 47
_cell_length_a 3.1921
_cell_length_b 3.2741
_cell_length_c 6.3798
_cell_angle_alpha 90.00
_cell_angle_beta 90.00
_cell_angle_gamma 90.00
loop_
_symmetry_equiv_pos_as_xyz
'x,y,z'
'-x,-y,-z'
'-x,-y,z'
'x,y,-z'
'x,-y,-z'
'-x,y,z'
'-x,y,-z'
'x,-y,z'
loop_
_atom_site_label
_atom_site_fract_x
_atom_site_fract_y
_atom_site_fract_z
_atom_site_occupancy
Sc1 0.0000 0.0000 0.2481 1
Re1 0.5000 0.5000 0.5000 1
Ni1 0.5000 0.5000 0.0000 1
```

---

ScReNi2: relaxed, PBE-GGA.

## Properties
Formation energy from the elements = -0.0736 eV per atom
Offset from the most stable computed form = 0.254 eV per formula unit
E_tot = -30.64 eV/cell
Crystal system = tetragonal

Structure (CIF):
```
data_ScReNi2
_symmetry_space_group_name_H-M 'P 4/m m m'
_symmetry_Int_Tables_number 123
_symmetry_space_group_name_Hall '-P 4 2'
_cell_length_a 4.4679
_cell_length_b 4.4679
_cell_length_c 2.7969
_cell_angle_alpha 90.00
_cell_angle_beta 90.00
_cell_angle_gamma 90.00
loop_
_atom_site_label
_atom_site_fract_x
_atom_site_fract_y
_atom_site_fract_z
_atom_site_occupancy
Sc1 0.0000 0.0000 0.0000 1
Re1 0.5000 0.5000 0.0000 1
Ni1 0.0000 0.5000 0.5000 1
```

---

ScReNi2: relaxed, PBE-GGA.

## Properties
Formation energy from the elements = -0.0585 eV per atom
Offset from the most stable computed form = 0.314 eV per formula unit
E_tot = -30.58 eV/cell
Crystal system = orthorhombic

Structure (CIF):
```
data_ScReNi2
_symmetry_space_group_name_H-M 'P m m 2'
_symmetry_Int_Tables_number 25
_cell_length_a 2.9919
_cell_length_b 3.1546
_cell_length_c 6.0230
_cell_angle_alpha 90.00
_cell_angle_beta 90.00
_cell_angle_gamma 90.00
loop_
_symmetry_equiv_pos_as_xyz
'x,y,z'
'-x,-y,z'
'-x,y,z'
'x,-y,z'
loop_
_atom_site_label
_atom_site_fract_x
_atom_site_fract_y
_atom_site_fract_z
_atom_site_occupancy
Sc1 0.0000 0.0000 0.0000 1
Re1 0.5000 0.5000 0.6824 1
Ni1 0.0000 0.0000 0.4699 1
Ni2 0.5000 0.5000 0.2597 1
```

---

ScReNi2: relaxed, PBE-GGA.

## Properties
Formation energy from the elements = -0.1371 eV per atom
Offset from the most stable computed form = 0.000 eV per formula unit
E_tot = -30.89 eV/cell
Crystal system = monoclinic

Structure (CIF):
```
data_ScReNi2
_symmetry_space_group_name_H-M 'P 1 m 1'
_symmetry_Int_Tables_number 6
_cell_length_a 2.7342
_cell_length_b 4.3045
_cell_length_c 4.7350
_cell_angle_alpha 90.00
_cell_angle_beta 95.46
_cell_angle_gamma 90.00
loop_
_symmetry_equiv_pos_as_xyz
'x,y,z'
'x,-y,z'
loop_
_atom_site_label
_atom_site_fract_x
_atom_site_fract_y
_atom_site_fract_z
_atom_site_occupancy
Sc1 0.0000 0.0000 0.0000 1
Re1 0.1542 0.5000 0.6144 1
Ni1 0.5586 0.5000 0.1503 1
Ni2 0.5630 0.0000 0.4841 1
```

---

Sc2ReNi: relaxed, PBE-GGA.

## Properties
Formation energy from the elements = 0.2711 eV per atom
E_tot = -119.23 eV/cell
Crystal system = tetragonal

Structure (CIF):
```
data_Sc2ReNi
_symmetry_space_group_name_H-M 'I -4 2 d'
_symmetry_Int_Tables_number 122
_symmetry_space_group_name_Hall 'I -4 2bw'
_cell_length_a 7.0550
_cell_length_b 7.0550
_cell_length_c 5.5861
_cell_angle_alpha 90.00
_cell_angle_beta 90.00
_cell_angle_gamma 90.00
loop_
_atom_site_label
_atom_site_fract_x
_atom_site_fract_y
_atom_site_fract_z
_atom_site_occupancy
Sc1 0.2226 0.7500 0.1250 1
Re1 0.0000 0.0000 0.5000 1
Ni1 0.0000 0.0000 0.0000 1
```